A geometry-optimized LiAl2Cl structure, computed with PBE.

```
LiAl2Cl
1.0
-2.168 2.168 4.238
2.168 -2.168 4.238
2.168 2.168 -4.238
Li Al Cl
1 2 1
Direct
0.000 0.000 0.000
0.250 0.750 0.500
0.500 0.500 0.000
0.750 0.250 0.500
```

Calculated values
- magnetic moment (μB per cell) = 0.000
- N(E_F) (states/eV per atom) = 0.325
- raw formation energy (meV/atom) = -34
- total energy (eV/f.u.) = -11.38
- energy above the most stable polymorph in this dataset (eV per atom) = 0.462

***

A geometry-optimized Ba3Nd2PuTe6 structure, computed with PBE.

```
Ba3Nd2PuTe6
1.0
4.045 -7.011 0.000
4.045 7.011 0.000
-2.697 0.000 7.884
Ba Nd Pu Te
3 2 1 6
Direct
0.000 0.000 0.000
0.333 0.667 0.000
0.667 0.333 0.000
0.167 0.833 0.500
0.833 0.167 0.500
0.500 0.500 0.500
0.094 0.426 0.277
0.243 0.243 0.723
0.426 0.094 0.277
0.574 0.906 0.723
0.757 0.757 0.277
0.906 0.574 0.723
```

Calculated values
- magnetic moment (μB per cell) = 6.175
- N(E_F) (states/eV per atom) = 1.619
- raw formation energy (meV/atom) = -1516
- total energy (eV/f.u.) = -66.68

***

A geometry-optimized Ac2YGe2 structure, computed with PBE.

```
Ac2YGe2
1.0
7.969 0.000 0.000
0.000 7.969 0.000
0.000 0.000 4.746
Ac Y Ge
4 2 4
Direct
0.176 0.324 0.000
0.324 0.824 0.000
0.676 0.176 0.000
0.824 0.676 0.000
0.000 0.000 0.500
0.500 0.500 0.500
0.121 0.621 0.500
0.379 0.121 0.500
0.621 0.879 0.500
0.879 0.379 0.500
```

Calculated values
- magnetic moment (μB per cell) = 0.000
- N(E_F) (states/eV per atom) = 0.901
- formation energy (eV/atom) = -0.70
- total energy (eV/f.u.) = -27.42

***

A geometry-optimized Th4Ga12Ni structure, computed with PBE.

```
Th4Ga12Ni
1.0
-4.421 4.421 4.421
4.421 -4.421 4.421
4.421 4.421 -4.421
Th Ga Ni
4 12 1
Direct
0.000 0.000 0.500
0.000 0.500 0.000
0.500 0.000 0.000
0.500 0.500 0.500
0.000 0.292 0.292
0.000 0.708 0.708
0.250 0.500 0.750
0.250 0.750 0.500
0.292 0.000 0.292
0.292 0.292 0.000
0.500 0.250 0.750
0.500 0.750 0.250
0.708 0.000 0.708
0.708 0.708 0.000
0.750 0.250 0.500
0.750 0.500 0.250
0.000 0.000 0.000
```

Calculated values
- magnetic moment (μB per cell) = 0.000
- N(E_F) (states/eV per atom) = 0.501
- formation energy (eV/atom) = -0.51
- total energy (eV/f.u.) = -80.44

***

A geometry-optimized BeNi2Pt structure, computed with PBE.

```
BeNi2Pt
1.0
-1.751 1.751 3.764
1.751 -1.751 3.764
1.751 1.751 -3.764
Be Ni Pt
1 2 1
Direct
0.000 0.000 0.000
0.250 0.750 0.500
0.750 0.250 0.500
0.500 0.500 0.000
```

Calculated values
- magnetic moment (μB per cell) = 1.016
- N(E_F) (states/eV per atom) = 1.116
- formation energy (eV/atom) = -0.24
- total energy (eV/f.u.) = -22.29

***

A geometry-optimized NaTe2IF structure, computed with PBE.

```
NaTe2IF
1.0
4.698 0.000 0.000
0.000 4.698 0.000
0.000 0.000 7.610
Na Te I F
1 2 1 1
Direct
0.000 0.000 0.000
0.000 0.500 0.500
0.500 0.000 0.500
0.500 0.500 0.000
0.500 0.500 0.500
```

Calculated values
- magnetic moment (μB per cell) = 0.000
- N(E_F) (states/eV per atom) = 0.918
- raw formation energy (meV/atom) = -490
- total energy (eV/f.u.) = -13.48
- energy above the most stable polymorph in this dataset (eV per atom) = 0.000